# CoHBr2 (PBE-GGA, relaxed)
data_CoHBr2
_chemical_formula_sum 'Co4 H4 Br8'
_space_group_name_H-M_alt 'F m -3 m'
_space_group_IT_number 225
_space_group_name_Hall '-F 4 2 3'
_cell_length_a 6.571
_cell_length_b 6.571
_cell_length_c 6.571
_cell_angle_alpha 90.00
_cell_angle_beta 90.00
_cell_angle_gamma 90.00
loop_
_atom_site_label
_atom_site_fract_x
_atom_site_fract_y
_atom_site_fract_z
Co1 0.000 0.000 0.000
H1 0.000 0.000 0.500
Br1 0.250 0.250 0.250
# Crystal system ... cubic
# Uncorrected energy ... -2.748 eV per atom



# KAcP (PBE-GGA, relaxed)
data_KAcP
_chemical_formula_sum 'K4 Ac4 P4'
_space_group_name_H-M_alt 'C m c m'
_space_group_IT_number 63
_space_group_name_Hall '-C 2c 2'
_cell_length_a 4.384
_cell_length_b 21.240
_cell_length_c 6.159
_cell_angle_alpha 90.00
_cell_angle_beta 90.00
_cell_angle_gamma 90.00
loop_
_atom_site_label
_atom_site_fract_x
_atom_site_fract_y
_atom_site_fract_z
K1 0.000 0.214 0.250
Ac1 0.000 0.420 0.250
P1 0.000 0.164 0.750
# Crystal system ... orthorhombic
# ΔH_f (0 K) ... -369.8 meV per atom
# Uncorrected energy ... -3.908 eV per atom



# Th2TaAl (PBE-GGA, relaxed)
data_Th2TaAl
_chemical_formula_sum 'Th6 Ta3 Al3'
_space_group_name_H-M_alt 'R -3 m'
_space_group_IT_number 166
_space_group_name_Hall '-R 3 2"'
_cell_length_a 3.2392
_cell_length_b 3.2392
_cell_length_c 33.7331
_cell_angle_alpha 90.00
_cell_angle_beta 90.00
_cell_angle_gamma 120.00
loop_
_atom_site_label
_atom_site_fract_x
_atom_site_fract_y
_atom_site_fract_z
Th1 0.0000 0.0000 0.0879
Ta1 0.0000 0.0000 0.0000
Al1 0.0000 0.0000 0.5000
# Crystal system ... trigonal
# ΔH_f (0 K) ... 508.5 meV per atom
# Uncorrected energy ... -7.100 eV per atom



# HfSc3Cu4 (PBE-GGA, relaxed)
data_HfSc3Cu4
_chemical_formula_sum 'Hf3 Sc9 Cu12'
_space_group_name_H-M_alt 'R -3 m'
_space_group_IT_number 166
_space_group_name_Hall '-R 3 2"'
_cell_length_a 4.6002
_cell_length_b 4.6002
_cell_length_c 22.5540
_cell_angle_alpha 90.00
_cell_angle_beta 90.00
_cell_angle_gamma 120.00
loop_
_atom_site_label
_atom_site_fract_x
_atom_site_fract_y
_atom_site_fract_z
Hf1 0.0000 0.0000 0.0000
Sc1 0.0000 0.0000 0.2484
Sc2 0.0000 0.0000 0.5000
Cu1 0.0000 0.0000 0.1227
Cu2 0.0000 0.0000 0.3726
# Crystal system ... trigonal
# ΔH_f (0 K) ... -222.0 meV per atom
# Uncorrected energy ... -5.889 eV per atom



# MnSiPdPt (PBE-GGA, relaxed)
data_MnSiPdPt
_chemical_formula_sum 'Mn4 Si4 Pd4 Pt4'
_space_group_name_H-M_alt 'F -4 3 m'
_space_group_IT_number 216
_space_group_name_Hall 'F -4 2 3'
_cell_length_a 6.132
_cell_length_b 6.132
_cell_length_c 6.132
_cell_angle_alpha 90.00
_cell_angle_beta 90.00
_cell_angle_gamma 90.00
loop_
_atom_site_label
_atom_site_fract_x
_atom_site_fract_y
_atom_site_fract_z
Mn1 0.000 0.000 0.000
Si1 0.000 0.000 0.500
Pd1 0.250 0.250 0.750
Pt1 0.250 0.250 0.250
# Crystal system ... cubic
# Uncorrected energy ... -6.861 eV per atom



# Ac3Pr3In2Ga (PBE-GGA, relaxed)
data_Ac3Pr3In2Ga
_chemical_formula_sum 'Ac3 Pr3 In2 Ga1'
_space_group_name_H-M_alt 'P -6 2 m'
_space_group_IT_number 189
_space_group_name_Hall 'P -6 -2'
_cell_length_a 9.4057
_cell_length_b 9.4057
_cell_length_c 4.0062
_cell_angle_alpha 90.00
_cell_angle_beta 90.00
_cell_angle_gamma 120.00
loop_
_atom_site_label
_atom_site_fract_x
_atom_site_fract_y
_atom_site_fract_z
Ac1 0.0000 0.2673 0.0000
Pr1 0.0000 0.6044 0.5000
In1 0.3333 0.6667 0.0000
Ga1 0.0000 0.0000 0.5000
# Crystal system ... hexagonal
# ΔH_f (0 K) ... -294.3 meV per atom
# Uncorrected energy ... -4.202 eV per atom



# Ca3TlH2 (PBE-GGA, relaxed)
data_Ca3TlH2
_chemical_formula_sum 'Ca12 Tl4 H8'
_space_group_name_H-M_alt 'C m c m'
_space_group_IT_number 63
_space_group_name_Hall '-C 2c 2'
_cell_length_a 8.962
_cell_length_b 11.421
_cell_length_c 5.333
_cell_angle_alpha 90.00
_cell_angle_beta 90.00
_cell_angle_gamma 90.00
loop_
_atom_site_label
_atom_site_fract_x
_atom_site_fract_y
_atom_site_fract_z
Ca1 0.000 0.108 0.250
Ca2 0.206 0.389 0.250
Tl1 0.000 0.313 0.750
H1 0.150 0.000 0.000
# Crystal system ... orthorhombic
# Uncorrected energy ... -2.975 eV per atom



# YSiHg (PBE-GGA, relaxed)
data_YSiHg
_chemical_formula_sum 'Y4 Si4 Hg4'
_space_group_name_H-M_alt 'C m c m'
_space_group_IT_number 63
_space_group_name_Hall '-C 2c 2'
_cell_length_a 4.186
_cell_length_b 16.422
_cell_length_c 3.865
_cell_angle_alpha 90.00
_cell_angle_beta 90.00
_cell_angle_gamma 90.00
loop_
_atom_site_label
_atom_site_fract_x
_atom_site_fract_y
_atom_site_fract_z
Y1 0.000 0.094 0.250
Si1 0.000 0.456 0.250
Hg1 0.000 0.288 0.250
# Crystal system ... orthorhombic
# Uncorrected energy ... -4.602 eV per atom



# Li3Th2GaCu12 (PBE-GGA, relaxed)
data_Li3Th2GaCu12
_chemical_formula_sum 'Li9 Th6 Ga3 Cu36'
_space_group_name_H-M_alt 'R -3 m'
_space_group_IT_number 166
_space_group_name_Hall '-R 3 2"'
_cell_length_a 8.4306
_cell_length_b 8.4306
_cell_length_c 16.3938
_cell_angle_alpha 90.00
_cell_angle_beta 90.00
_cell_angle_gamma 120.00
loop_
_atom_site_label
_atom_site_fract_x
_atom_site_fract_y
_atom_site_fract_z
Li1 0.0000 0.5000 0.0000
Th1 0.0000 0.0000 0.0969
Ga1 0.0000 0.0000 0.5000
Cu1 0.0046 0.5023 0.1590
Cu2 0.0751 0.5376 0.4293
# Crystal system ... trigonal
# ΔH_f (0 K) ... 246.4 meV per atom
# Uncorrected energy ... -3.796 eV per atom



# KTcN2 (PBE-GGA, relaxed)
data_KTcN2
_chemical_formula_sum 'K3 Tc3 N6'
_space_group_name_H-M_alt 'R -3 m'
_space_group_IT_number 166
_space_group_name_Hall '-R 3 2"'
_cell_length_a 3.0517
_cell_length_b 3.0517
_cell_length_c 21.3792
_cell_angle_alpha 90.00
_cell_angle_beta 90.00
_cell_angle_gamma 120.00
loop_
_atom_site_label
_atom_site_fract_x
_atom_site_fract_y
_atom_site_fract_z
K1 0.0000 0.0000 0.0000
Tc1 0.0000 0.0000 0.5000
N1 0.0000 0.0000 0.1146
# Crystal system ... trigonal
# Uncorrected energy ... -6.555 eV per atom



# LiHBr (PBE-GGA, relaxed)
data_LiHBr
_chemical_formula_sum 'Li4 H4 Br4'
_space_group_name_H-M_alt 'C 1 2/m 1'
_space_group_IT_number 12
_space_group_name_Hall '-C 2y'
_cell_length_a 20.699
_cell_length_b 3.740
_cell_length_c 3.753
_cell_angle_alpha 90.00
_cell_angle_beta 100.28
_cell_angle_gamma 90.00
loop_
_atom_site_label
_atom_site_fract_x
_atom_site_fract_y
_atom_site_fract_z
Li1 0.195 0.000 0.196
H1 0.000 0.400 0.500
Br1 0.176 0.500 0.677
# Crystal system ... monoclinic
# Uncorrected energy ... -3.321 eV per atom



# Cs6H3Cl2F (PBE-GGA, relaxed)
data_Cs6H3Cl2F
_chemical_formula_sum 'Cs12 H6 Cl4 F2'
_space_group_name_H-M_alt 'C 1 2/m 1'
_space_group_IT_number 12
_space_group_name_Hall '-C 2y'
_cell_length_a 20.479
_cell_length_b 4.656
_cell_length_c 9.446
_cell_angle_alpha 90.00
_cell_angle_beta 103.24
_cell_angle_gamma 90.00
loop_
_atom_site_label
_atom_site_fract_x
_atom_site_fract_y
_atom_site_fract_z
Cs1 0.004 0.000 0.271
Cs2 0.160 0.500 0.099
Cs3 0.163 0.500 0.564
H1 0.000 0.500 0.000
H2 0.164 0.000 0.339
Cl1 0.166 0.000 0.832
F1 0.000 0.500 0.500
# Crystal system ... monoclinic
# Uncorrected energy ... -2.892 eV per atom